No. 1
A plane-wave DFT calculation with GGA-PBE was carried out for a relaxed structure of TlTe2Ir.

Structure (extended XYZ):
```
4
Lattice="-2.328 2.328 4.361 2.328 -2.328 4.361 2.328 2.328 -4.361" Properties=species:S:1:pos:R:3 pbc="T T T"
Tl 0.000 0.000 0.000
Te 0.000 0.000 4.361
Te 0.000 2.328 2.181
Ir 2.328 0.000 2.181
```

Summary:
Electronic total energy, eV/atom: -3.7154
Symmetry: I-4m2

---

No. 2
A plane-wave DFT calculation with GGA-PBE was carried out for a relaxed structure of RbPbAu4.

Structure (extended XYZ):
```
6
Lattice="0.000 4.125 4.125 4.125 0.000 4.125 4.125 4.125 0.000" Properties=species:S:1:pos:R:3 pbc="T T T"
Rb 0.000 0.000 0.000
Pb 6.188 6.188 6.188
Au 3.094 3.094 3.094
Au 5.157 5.157 3.094
Au 5.157 3.094 5.157
Au 3.094 5.157 5.157
```

Summary:
Electronic total energy, eV/atom: -3.0241
DFT formation energy, eV/atom: -0.06
Symmetry: F-43m

---

No. 3
A plane-wave DFT calculation with GGA-PBE was carried out for a relaxed structure of Na3Np3PtSe8.

Structure (extended XYZ):
```
15
Lattice="4.040 2.332 7.142 -4.040 2.332 7.142 0.000 -4.664 7.142" Properties=species:S:1:pos:R:3 pbc="T T T"
Na -2.020 -1.166 7.142
Na -2.020 1.166 14.283
Na 0.000 2.332 7.142
Np -4.040 0.000 10.712
Np -2.020 1.166 3.571
Np 2.020 1.166 3.571
Pt 0.000 0.000 10.712
Se 0.000 0.000 5.242
Se -1.876 -1.083 12.259
Se 0.000 -2.166 9.166
Se -1.876 1.083 9.166
Se 1.876 -1.083 12.259
Se 0.000 2.166 12.259
Se 1.876 1.083 9.166
Se 0.000 0.000 16.182
```

Summary:
Electronic total energy, eV/atom: -6.1037
Symmetry: R-3m

---

No. 4
A plane-wave DFT calculation with GGA-PBE was carried out for a relaxed structure of FeMo2Ir.

Structure (extended XYZ):
```
4
Lattice="2.749 0.000 0.000 0.000 3.799 0.000 0.000 0.000 5.580" Properties=species:S:1:pos:R:3 pbc="T T T"
Fe 0.000 0.000 0.000
Mo 0.000 0.000 2.712
Mo 1.375 1.899 4.305
Ir 1.375 1.899 1.368
```

Summary:
Electronic total energy, eV/atom: -9.7123
DFT formation energy, eV/atom: 0.03
Symmetry: Pmm2

---

Question: Which of these has the highest electronic total energy?
Answer: RbPbAu4

---

Question: Look up the electronic total energy of the fourth one.
Answer: -9.7123 eV/atom